# 1
Computed, not measured: a relaxed Tl2CdReS crystal at the PBE-GGA level of DFT.

Cell: 5.760 5.760 4.857 Å, 90.00 90.00 90.00°
Fractional coordinates of all 5 atoms:
Tl 0.000 0.500 0.000
Tl 0.500 0.000 0.000
Cd 0.000 0.000 0.000
Re 0.500 0.500 0.500
S 0.000 0.000 0.500

Calculated values
N(E_F)	3.4	states/eV/f.u.
crystal system	tetragonal
M_tot	0.901	μB per atom
ΔE_f (raw)	1.4155	eV/atom
theoretical density	7.620	g/cm³
symmetry	P4/mmm



# 2
Computed, not measured: a relaxed Zr2CdReS crystal at the PBE-GGA level of DFT.

Cell: 5.198 5.198 4.839 Å, 90.00 90.00 90.00°
Fractional coordinates of all 5 atoms:
Zr 0.000 0.500 0.000
Zr 0.500 0.000 0.000
Cd 0.000 0.000 0.000
Re 0.000 0.000 0.500
S 0.500 0.500 0.500

Calculated values
N(E_F)	6.9	states/eV/f.u.
crystal system	tetragonal
M_tot	0.013	μB per atom
ΔE_f (raw)	1.7575	eV/atom
theoretical density	6.517	g/cm³
symmetry	P4/mmm



# 3
Computed, not measured: a relaxed CdReSb2 crystal at the PBE-GGA level of DFT.

Cell: 4.881 4.881 3.514 Å, 90.00 90.00 90.00°
Fractional coordinates of all 4 atoms:
Cd 0.000 0.000 0.000
Re 0.500 0.500 0.000
Sb 0.000 0.500 0.500
Sb 0.500 0.000 0.500

Calculated values
N(E_F)	3.9	states/eV/f.u.
crystal system	tetragonal
M_tot	0.021	μB per atom
ΔE_f (raw)	0.7632	eV/atom
theoretical density	10.753	g/cm³
symmetry	P4/mmm



# 4
Computed, not measured: a relaxed CdReSb2 crystal at the PBE-GGA level of DFT.

Cell: 5.561 5.561 5.561 Å, 134.99 134.99 65.54°
Fractional coordinates of all 4 atoms:
Cd 0.000 0.000 0.000
Re 0.250 0.750 0.500
Sb 0.500 0.500 0.000
Sb 0.750 0.250 0.500

Calculated values
N(E_F)	4.3	states/eV/f.u.
crystal system	tetragonal
M_tot	0.013	μB per atom
ΔE_f (raw)	0.8233	eV/atom
theoretical density	10.625	g/cm³
symmetry	I-4m2



# 5
Computed, not measured: a relaxed CdReSb2 crystal at the PBE-GGA level of DFT.

Cell: 4.940 4.940 4.940 Å, 60.00 60.00 60.00°
Fractional coordinates of all 4 atoms:
Cd 0.000 0.000 0.000
Re 0.250 0.250 0.250
Sb 0.500 0.500 0.500
Sb 0.750 0.750 0.750

Calculated values
N(E_F)	4.4	states/eV/f.u.
crystal system	cubic
M_tot	0.000	μB per atom
ΔE_f (raw)	0.9239	eV/atom
theoretical density	10.558	g/cm³
symmetry	F-43m



# 6
Computed, not measured: a relaxed CdRe4Sb crystal at the PBE-GGA level of DFT.

Cell: 5.340 5.340 5.340 Å, 60.00 60.00 60.00°
Fractional coordinates of all 6 atoms:
Cd 0.000 0.000 0.000
Re 0.124 0.625 0.625
Re 0.625 0.124 0.625
Re 0.625 0.625 0.124
Re 0.625 0.625 0.625
Sb 0.250 0.250 0.250

Calculated values
N(E_F)	6.5	states/eV/f.u.
crystal system	cubic
M_tot	0.000	μB per atom
ΔE_f (raw)	0.7129	eV/atom
theoretical density	15.095	g/cm³
symmetry	F-43m



# 7
Computed, not measured: a relaxed CdReSb2 crystal at the PBE-GGA level of DFT.

Cell: 3.282 3.282 10.329 Å, 91.60 91.60 59.46°
Fractional coordinates of all 4 atoms:
Cd 0.000 0.000 0.000
Re 0.500 0.500 0.500
Sb 0.178 0.178 0.693
Sb 0.822 0.822 0.307

Calculated values
N(E_F)	2.5	states/eV/f.u.
crystal system	monoclinic
M_tot	0.000	μB per atom
ΔE_f (raw)	0.2919	eV/atom
theoretical density	9.400	g/cm³
symmetry	C2/m



# 8
Computed, not measured: a relaxed CdReSb2 crystal at the PBE-GGA level of DFT.

Cell: 7.037 7.037 7.037 Å, 154.07 139.80 48.45°
Fractional coordinates of all 4 atoms:
Cd 0.000 0.000 0.000
Re 0.500 0.500 0.000
Sb 0.328 0.828 0.500
Sb 0.672 0.172 0.500

Calculated values
N(E_F)	3.0	states/eV/f.u.
crystal system	orthorhombic
M_tot	0.001	μB per atom
ΔE_f (raw)	0.3717	eV/atom
theoretical density	9.186	g/cm³
symmetry	Immm



# 9
Computed, not measured: a relaxed CdReSb2 crystal at the PBE-GGA level of DFT.

Cell: 4.937 4.937 3.528 Å, 90.08 90.08 102.78°
Fractional coordinates of all 4 atoms:
Cd 0.000 0.000 0.000
Re 0.500 0.500 0.000
Sb 0.000 0.500 0.500
Sb 0.500 0.000 0.500

Calculated values
N(E_F)	3.9	states/eV/f.u.
crystal system	monoclinic
M_tot	0.000	μB per atom
ΔE_f (raw)	0.7362	eV/atom
theoretical density	10.734	g/cm³
symmetry	C2/m



# 10
Computed, not measured: a relaxed CdRe2Sb crystal at the PBE-GGA level of DFT.

Cell: 3.249 3.249 6.699 Å, 90.00 90.00 90.00°
Fractional coordinates of all 4 atoms:
Cd 0.000 0.000 0.000
Re 0.500 0.500 0.276
Re 0.500 0.500 0.724
Sb 0.000 0.000 0.500

Calculated values
relative energy among the computed polymorphs	0.586	eV per atom
N(E_F)	4.7	states/eV/f.u.
crystal system	tetragonal
M_tot	0.000	μB per atom
ΔE_f (raw)	0.8474	eV/atom
theoretical density	14.244	g/cm³
symmetry	P4/mmm



# 11
Computed, not measured: a relaxed CdReSb2 crystal at the PBE-GGA level of DFT.

Cell: 5.414 5.414 6.555 Å, 110.38 110.38 33.78°
Fractional coordinates of all 4 atoms:
Cd 0.000 0.000 0.000
Re 0.729 0.729 0.982
Sb 0.152 0.152 0.624
Sb 0.335 0.335 0.341

Calculated values
N(E_F)	2.9	states/eV/f.u.
crystal system	monoclinic
M_tot	0.000	μB per atom
ΔE_f (raw)	0.4016	eV/atom
theoretical density	9.047	g/cm³
symmetry	Cm



# 12
Computed, not measured: a relaxed CdReSb3 crystal at the PBE-GGA level of DFT.

Cell: 5.401 5.401 5.401 Å, 90.00 90.00 90.00°
Fractional coordinates of all 5 atoms:
Cd 0.000 0.000 0.000
Re 0.500 0.500 0.500
Sb 0.000 0.000 0.500
Sb 0.000 0.500 0.000
Sb 0.500 0.000 0.000

Calculated values
relative energy among the computed polymorphs	1.176	eV per atom
N(E_F)	4.4	states/eV/f.u.
crystal system	cubic
M_tot	0.676	μB per atom
ΔE_f (raw)	1.7941	eV/atom
theoretical density	6.997	g/cm³
symmetry	Pm-3m